A relaxed structure of Ag2MoCl7, computed with PBE-GGA.

a = 10.456 Å, b = 7.881 Å, c = 11.431 Å
α = 74.41°, β = 62.78°, γ = 48.44°
Element x y z (fractional)
1 Ag 0.613 0.978 0.613
2 Ag 0.796 0.478 0.113
3 Ag 0.204 0.522 0.887
4 Ag 0.387 0.022 0.387
5 Mo 0.000 0.250 0.750
6 Mo 0.000 0.750 0.250
7 Cl 0.832 0.640 0.757
8 Cl 0.771 0.140 0.257
9 Cl 0.237 0.740 0.088
10 Cl 0.260 0.250 0.579
11 Cl 0.528 0.250 0.750
12 Cl 0.935 0.240 0.588
13 Cl 0.089 0.250 0.921
14 Cl 0.911 0.750 0.079
15 Cl 0.065 0.760 0.412
16 Cl 0.472 0.750 0.250
17 Cl 0.740 0.750 0.421
18 Cl 0.763 0.260 0.912
19 Cl 0.229 0.860 0.743
20 Cl 0.168 0.360 0.243

Summary:
VASP energy = -3.577 eV/atom

***

A relaxed structure of AgMoCl2, computed with PBE-GGA.

a = 5.496 Å, b = 5.496 Å, c = 7.176 Å
α = 68.07°, β = 68.07°, γ = 31.91°
Element x y z (fractional)
1 Mo 0.448 0.448 0.375
2 Ag 0.182 0.182 0.375
3 Cl 0.011 0.011 0.085
4 Cl 0.859 0.859 0.665

Summary:
VASP energy = -4.417 eV/atom

***

A relaxed structure of AgMoPCl2, computed with PBE-GGA.

a = 4.952 Å, b = 4.952 Å, c = 4.984 Å
α = 90.00°, β = 90.00°, γ = 90.00°
Element x y z (fractional)
1 P 0.000 0.000 0.500
2 Mo 0.500 0.500 0.500
3 Ag 0.000 0.000 0.000
4 Cl 0.000 0.500 0.000
5 Cl 0.500 0.000 0.000

Summary:
VASP energy = -3.594 eV/atom

***

A relaxed structure of AgMoPCl2, computed with PBE-GGA.

a = 4.913 Å, b = 4.913 Å, c = 4.731 Å
α = 90.00°, β = 90.00°, γ = 90.00°
Element x y z (fractional)
1 P 0.000 0.000 0.500
2 Mo 0.000 0.000 0.000
3 Ag 0.500 0.500 0.500
4 Cl 0.000 0.500 0.000
5 Cl 0.500 0.000 0.000

Summary:
VASP energy = -4.381 eV/atom

***

A relaxed structure of AgMoPtCl2, computed with PBE-GGA.

a = 4.487 Å, b = 5.705 Å, c = 4.487 Å
α = 90.00°, β = 90.00°, γ = 90.00°
Element x y z (fractional)
1 Mo 0.000 0.000 0.000
2 Ag 0.000 0.500 0.000
3 Pt 0.500 0.500 0.500
4 Cl 0.000 0.000 0.500
5 Cl 0.500 0.000 0.000

Summary:
VASP energy = -3.904 eV/atom

***

A relaxed structure of RbAgMoCl2, computed with PBE-GGA.

a = 5.302 Å, b = 6.099 Å, c = 5.302 Å
α = 90.00°, β = 90.00°, γ = 90.00°
Element x y z (fractional)
1 Mo 0.500 0.500 0.500
2 Rb 0.000 0.500 0.000
3 Ag 0.000 0.000 0.000
4 Cl 0.000 0.000 0.500
5 Cl 0.500 0.000 0.000

Summary:
VASP energy = -3.125 eV/atom

***

A relaxed structure of Rb2AgMoCl6, computed with PBE-GGA.

a = 7.350 Å, b = 7.350 Å, c = 7.350 Å
α = 60.00°, β = 60.00°, γ = 60.00°
Element x y z (fractional)
1 Rb 0.750 0.750 0.750
2 Rb 0.250 0.250 0.250
3 Ag 0.500 0.500 0.500
4 Mo 0.000 0.000 0.000
5 Cl 0.762 0.238 0.238
6 Cl 0.238 0.238 0.762
7 Cl 0.238 0.762 0.762
8 Cl 0.238 0.762 0.238
9 Cl 0.762 0.238 0.762
10 Cl 0.762 0.762 0.238

Summary:
VASP energy = -3.901 eV/atom

***

A relaxed structure of RbAgMoCl6, computed with PBE-GGA.

a = 7.004 Å, b = 6.909 Å, c = 6.909 Å
α = 120.00°, β = 90.00°, γ = 90.00°
Element x y z (fractional)
1 Rb 0.000 0.333 0.667
2 Ag 0.500 0.667 0.333
3 Mo 0.500 0.000 0.000
4 Cl 0.698 0.725 0.707
5 Cl 0.698 0.293 0.018
6 Cl 0.698 0.982 0.275
7 Cl 0.302 0.293 0.275
8 Cl 0.302 0.725 0.018
9 Cl 0.302 0.982 0.707

Summary:
VASP energy = -3.881 eV/atom

***

A relaxed structure of Rb2AgMoCl6, computed with PBE-GGA.

a = 7.304 Å, b = 7.304 Å, c = 13.258 Å
α = 74.01°, β = 74.01°, γ = 60.00°
Element x y z (fractional)
1 Rb 0.873 0.873 0.380
2 Rb 0.127 0.127 0.620
3 Rb 0.704 0.704 0.889
4 Rb 0.296 0.296 0.111
5 Ag 0.587 0.587 0.239
6 Ag 0.413 0.413 0.761
7 Mo 0.000 0.000 0.000
8 Mo 0.500 0.500 0.500
9 Cl 0.859 0.377 0.388
10 Cl 0.377 0.859 0.388
11 Cl 0.377 0.377 0.388
12 Cl 0.141 0.623 0.612
13 Cl 0.623 0.141 0.612
14 Cl 0.623 0.623 0.612
15 Cl 0.721 0.197 0.886
16 Cl 0.197 0.721 0.886
17 Cl 0.197 0.197 0.886
18 Cl 0.279 0.803 0.114
19 Cl 0.803 0.279 0.114
20 Cl 0.803 0.803 0.114

Summary:
VASP energy = -3.905 eV/atom

***

A relaxed structure of AgMoS2Cl, computed with PBE-GGA.

a = 4.890 Å, b = 4.890 Å, c = 4.738 Å
α = 90.00°, β = 90.00°, γ = 90.00°
Element x y z (fractional)
1 Mo 0.500 0.500 0.500
2 S 0.000 0.500 0.000
3 S 0.500 0.000 0.000
4 Ag 0.000 0.000 0.000
5 Cl 0.000 0.000 0.500

Summary:
VASP energy = -3.814 eV/atom

***

A relaxed structure of AgMoSCl2, computed with PBE-GGA.

a = 4.988 Å, b = 4.988 Å, c = 4.607 Å
α = 90.00°, β = 90.00°, γ = 90.00°
Element x y z (fractional)
1 Mo 0.000 0.000 0.000
2 S 0.000 0.000 0.500
3 Ag 0.500 0.500 0.500
4 Cl 0.000 0.500 0.000
5 Cl 0.500 0.000 0.000

Summary:
VASP energy = -4.367 eV/atom

***

A relaxed structure of AgMoSCl2, computed with PBE-GGA.

a = 4.844 Å, b = 4.844 Å, c = 5.107 Å
α = 90.00°, β = 90.00°, γ = 90.00°
Element x y z (fractional)
1 Mo 0.500 0.500 0.500
2 S 0.000 0.000 0.500
3 Ag 0.000 0.000 0.000
4 Cl 0.000 0.500 0.000
5 Cl 0.500 0.000 0.000

Summary:
VASP energy = -3.592 eV/atom

***

A relaxed structure of AgMoS2Cl, computed with PBE-GGA.

a = 4.641 Å, b = 4.641 Å, c = 5.080 Å
α = 90.00°, β = 90.00°, γ = 90.00°
Element x y z (fractional)
1 Mo 0.000 0.000 0.000
2 S 0.000 0.500 0.000
3 S 0.500 0.000 0.000
4 Ag 0.500 0.500 0.500
5 Cl 0.000 0.000 0.500

Summary:
VASP energy = -4.754 eV/atom

***

A relaxed structure of Tl2AgMoCl6, computed with PBE-GGA.

a = 7.192 Å, b = 7.192 Å, c = 13.502 Å
α = 74.56°, β = 74.56°, γ = 60.00°
Element x y z (fractional)
1 Tl 0.862 0.862 0.413
2 Tl 0.138 0.138 0.587
3 Tl 0.694 0.694 0.917
4 Tl 0.306 0.306 0.083
5 Ag 0.586 0.586 0.243
6 Ag 0.414 0.414 0.757
7 Mo 0.000 0.000 0.000
8 Mo 0.500 0.500 0.500
9 Cl 0.861 0.375 0.390
10 Cl 0.375 0.861 0.390
11 Cl 0.375 0.375 0.390
12 Cl 0.139 0.625 0.610
13 Cl 0.625 0.139 0.610
14 Cl 0.625 0.625 0.610
15 Cl 0.712 0.199 0.891
16 Cl 0.199 0.712 0.891
17 Cl 0.199 0.199 0.891
18 Cl 0.288 0.801 0.109
19 Cl 0.801 0.288 0.109
20 Cl 0.801 0.801 0.109

Summary:
VASP energy = -3.783 eV/atom

***

A relaxed structure of Ag2NCl, computed with PBE-GGA.

a = 5.461 Å, b = 5.461 Å, c = 6.679 Å
α = 65.87°, β = 65.87°, γ = 90.00°
Element x y z (fractional)
1 N 0.500 0.500 0.000
2 N 0.250 0.750 0.500
3 Ag 0.515 0.125 0.250
4 Ag 0.235 0.625 0.250
5 Ag 0.375 0.485 0.750
6 Ag 0.875 0.765 0.750
7 Cl 0.000 0.000 0.000
8 Cl 0.750 0.250 0.500

Summary:
VASP energy = -3.323 eV/atom

***

A relaxed structure of Ag2N2Cl, computed with PBE-GGA.

a = 6.706 Å, b = 6.706 Å, c = 3.147 Å
α = 90.00°, β = 90.00°, γ = 90.00°
Element x y z (fractional)
1 N 0.314 0.814 0.000
2 N 0.814 0.686 0.000
3 N 0.686 0.186 0.000
4 N 0.186 0.314 0.000
5 Ag 0.147 0.647 0.500
6 Ag 0.647 0.853 0.500
7 Ag 0.853 0.353 0.500
8 Ag 0.353 0.147 0.500
9 Cl 0.000 0.000 0.000
10 Cl 0.500 0.500 0.000

Summary:
VASP energy = -3.153 eV/atom

***

A relaxed structure of AgN2Cl3, computed with PBE-GGA.

a = 6.992 Å, b = 7.299 Å, c = 14.817 Å
α = 104.39°, β = 96.83°, γ = 145.83°
Element x y z (fractional)
1 Ag 0.080 0.903 0.250
2 Ag 0.920 0.097 0.750
3 N 0.791 0.415 0.094
4 N 0.601 0.231 0.402
5 N 0.209 0.585 0.906
6 N 0.399 0.769 0.598
7 Cl 0.047 0.334 0.478
8 Cl 0.635 0.928 0.027
9 Cl 0.953 0.666 0.522
10 Cl 0.365 0.072 0.973
11 Cl 0.454 0.486 0.252
12 Cl 0.546 0.514 0.748

Summary:
VASP energy = -3.346 eV/atom

***

A relaxed structure of Ag2N2Cl, computed with PBE-GGA.

a = 3.287 Å, b = 6.527 Å, c = 9.880 Å
α = 61.07°, β = 90.00°, γ = 104.59°
Element x y z (fractional)
1 Ag 0.662 0.325 0.001
2 Ag 0.338 0.675 0.999
3 N 0.994 0.988 0.448
4 N 0.006 0.012 0.552
5 Cl 0.000 0.000 0.000

Summary:
VASP energy = -4.825 eV/atom

***

A relaxed structure of Ag2NCl, computed with PBE-GGA.

a = 4.544 Å, b = 4.544 Å, c = 4.544 Å
α = 60.00°, β = 60.00°, γ = 60.00°
Element x y z (fractional)
1 N 0.000 0.000 0.000
2 Ag 0.250 0.250 0.250
3 Ag 0.750 0.750 0.750
4 Cl 0.500 0.500 0.500

Summary:
VASP energy = -2.933 eV/atom

***

A relaxed structure of AgNCl2, computed with PBE-GGA.

a = 7.435 Å, b = 7.435 Å, c = 7.435 Å
α = 32.11°, β = 32.11°, γ = 32.11°
Element x y z (fractional)
1 N 0.000 0.000 0.000
2 Ag 0.500 0.500 0.500
3 Cl 0.901 0.901 0.901
4 Cl 0.099 0.099 0.099

Summary:
VASP energy = -2.827 eV/atom